# 1
CuSbBr2 after structural relaxation. Source: Alexandria, functional GGA-PBE.

Lattice parameters (Å, degrees): 4.3970 4.3970 8.5478 97.87 97.87 48.99
Sites, in units of the cell vectors:
Cu 0.0000 0.0000 0.0000
Sb 0.6899 0.6899 0.1601
Br 0.3691 0.3691 0.8356
Br 0.5563 0.5563 0.4133

## Properties
Formation energy without anion corrections, meV per atom: -241
Energy above the lowest structure with this stoichiometry, eV per atom: 0.000
Space group: Cm
Density, Mg/m³: 4.65
Total magnetic moment, μB/f.u.: 0.0



# 2
CuSbBr2 after structural relaxation. Source: Alexandria, functional GGA-PBE.

Lattice parameters (Å, degrees): 3.3288 3.3288 8.4552 90.00 90.00 90.00
Sites, in units of the cell vectors:
Cu 0.0000 0.0000 0.0000
Sb 0.0000 0.0000 0.5000
Br 0.5000 0.5000 0.1976
Br 0.5000 0.5000 0.8024

## Properties
Formation energy without anion corrections, meV per atom: 242
Energy above the lowest structure with this stoichiometry, eV per atom: 0.483
Space group: P4/mmm
Density, Mg/m³: 6.12
Total magnetic moment, μB/f.u.: 0.0



# 3
Cu2SbBr8 after structural relaxation. Source: Alexandria, functional GGA-PBE.

Lattice parameters (Å, degrees): 7.9943 7.9943 6.7589 96.96 96.96 66.54
Sites, in units of the cell vectors:
Cu 0.1927 0.1927 0.1756
Cu 0.8073 0.8073 0.8244
Sb 0.0000 0.0000 0.5000
Br 0.1109 0.6952 0.7013
Br 0.1553 0.1553 0.7920
Br 0.3048 0.8891 0.2987
Br 0.3591 0.3591 0.1409
Br 0.6409 0.6409 0.8591
Br 0.6952 0.1109 0.7013
Br 0.8447 0.8447 0.2080
Br 0.8891 0.3048 0.2987

## Properties
Formation energy without anion corrections, meV per atom: -298
Space group: C2/m
Density, Mg/m³: 3.76
Total magnetic moment, μB/f.u.: 1.1



# 4
CuSbBr after structural relaxation. Source: Alexandria, functional GGA-PBE.

Lattice parameters (Å, degrees): 3.5433 3.5433 7.1571 90.00 90.00 120.00
Sites, in units of the cell vectors:
Cu 0.0000 0.0000 0.0000
Sb 0.6667 0.3333 0.2547
Br 0.3333 0.6667 0.7932

## Properties
Formation energy without anion corrections, meV per atom: -3
Energy above the lowest structure with this stoichiometry, eV per atom: 0.000
Space group: P3m1
Density, Mg/m³: 5.66
Total magnetic moment, μB/f.u.: 0.0



# 5
CuSbBr2 after structural relaxation. Source: Alexandria, functional GGA-PBE.

Lattice parameters (Å, degrees): 5.1080 5.1080 5.1080 60.00 60.00 60.00
Sites, in units of the cell vectors:
Cu 0.0000 0.0000 0.0000
Sb 0.5000 0.5000 0.5000
Br 0.2500 0.2500 0.2500
Br 0.7500 0.7500 0.7500

## Properties
Formation energy without anion corrections, meV per atom: 406
Energy above the lowest structure with this stoichiometry, eV per atom: 0.648
Space group: Fm-3m
Density, Mg/m³: 6.08
Total magnetic moment, μB/f.u.: 0.0



# 6
ScCuSb2Br after structural relaxation. Source: Alexandria, functional GGA-PBE.

Lattice parameters (Å, degrees): 5.5772 5.5772 5.1053 90.00 90.00 90.00
Sites, in units of the cell vectors:
Sc 0.0000 0.0000 0.0000
Cu 0.5000 0.5000 0.5000
Sb 0.0000 0.5000 0.0000
Sb 0.5000 0.0000 0.0000
Br 0.0000 0.0000 0.5000

## Properties
Formation energy without anion corrections, meV per atom: 254
Space group: P4/mmm
Density, Mg/m³: 4.52
Total magnetic moment, μB/f.u.: 0.0



# 7
CuSbSe2Br after structural relaxation. Source: Alexandria, functional GGA-PBE.

Lattice parameters (Å, degrees): 4.9229 4.9229 4.7481 90.00 90.00 90.00
Sites, in units of the cell vectors:
Cu 0.0000 0.0000 0.0000
Sb 0.5000 0.5000 0.5000
Se 0.0000 0.5000 0.0000
Se 0.5000 0.0000 0.0000
Br 0.0000 0.0000 0.5000

## Properties
Formation energy without anion corrections, meV per atom: 216
Energy above the lowest structure with this stoichiometry, eV per atom: 0.469
Space group: P4/mmm
Density, Mg/m³: 6.11
Total magnetic moment, μB/f.u.: 0.0



# 8
CuSbSeBr2 after structural relaxation. Source: Alexandria, functional GGA-PBE.

Lattice parameters (Å, degrees): 4.8898 4.8898 5.0448 90.00 90.00 90.00
Sites, in units of the cell vectors:
Cu 0.0000 0.0000 0.0000
Sb 0.5000 0.5000 0.5000
Se 0.0000 0.0000 0.5000
Br 0.0000 0.5000 0.0000
Br 0.5000 0.0000 0.0000

## Properties
Formation energy without anion corrections, meV per atom: 143
Energy above the lowest structure with this stoichiometry, eV per atom: 0.000
Space group: P4/mmm
Density, Mg/m³: 5.84
Total magnetic moment, μB/f.u.: 0.0



# 9
CuSbSe2Br after structural relaxation. Source: Alexandria, functional GGA-PBE.

Lattice parameters (Å, degrees): 6.9334 4.1336 10.8405 90.00 108.62 90.00
Sites, in units of the cell vectors:
Cu 0.9996 0.2500 0.1523
Cu 0.0004 0.7500 0.8477
Sb 0.4718 0.7500 0.3211
Sb 0.5282 0.2500 0.6789
Se 0.1358 0.7500 0.1027
Se 0.2495 0.2500 0.3824
Se 0.7505 0.7500 0.6176
Se 0.8642 0.2500 0.8973
Br 0.3440 0.7500 0.8117
Br 0.6560 0.2500 0.1883

## Properties
Formation energy without anion corrections, meV per atom: -253
Energy above the lowest structure with this stoichiometry, eV per atom: 0.000
Space group: P2_1/m
Density, Mg/m³: 4.77
Total magnetic moment, μB/f.u.: 0.0



# 10
Cu2SiSbBr after structural relaxation. Source: Alexandria, functional GGA-PBE.

Lattice parameters (Å, degrees): 4.8343 4.8343 5.5987 90.00 90.00 90.00
Sites, in units of the cell vectors:
Cu 0.0000 0.5000 0.0000
Cu 0.5000 0.0000 0.0000
Si 0.0000 0.0000 0.5000
Sb 0.0000 0.0000 0.0000
Br 0.5000 0.5000 0.5000

## Properties
Formation energy without anion corrections, meV per atom: 587
Space group: P4/mmm
Density, Mg/m³: 4.53
Total magnetic moment, μB/f.u.: 0.0



# 11
CuTcSb2Br after structural relaxation. Source: Alexandria, functional GGA-PBE.

Lattice parameters (Å, degrees): 5.1082 5.1082 4.8815 90.00 90.00 90.00
Sites, in units of the cell vectors:
Cu 0.0000 0.0000 0.0000
Tc 0.0000 0.0000 0.5000
Sb 0.0000 0.5000 0.5000
Sb 0.5000 0.0000 0.5000
Br 0.5000 0.5000 0.0000

## Properties
Formation energy without anion corrections, meV per atom: 422
Space group: P4/mmm
Density, Mg/m³: 6.32
Total magnetic moment, μB/f.u.: 0.0



# 12
Cu2SbTeBr after structural relaxation. Source: Alexandria, functional GGA-PBE.

Lattice parameters (Å, degrees): 4.6445 4.6445 6.3717 90.00 90.00 90.00
Sites, in units of the cell vectors:
Cu 0.0000 0.5000 0.0000
Cu 0.5000 0.0000 0.0000
Sb 0.0000 0.0000 0.5000
Te 0.5000 0.5000 0.5000
Br 0.0000 0.0000 0.0000

## Properties
Formation energy without anion corrections, meV per atom: 623
Space group: P4/mmm
Density, Mg/m³: 5.51
Total magnetic moment, μB/f.u.: 0.0